No. 1
DFT (PBE) results for an optimized crystal structure of Ho2SiNi6Ge.

Summary:
Total magnetic moment (μB per cell): 0.0
SG: P-1 (2)
Volume (Å³/atom): 15.6
Formation energy from raw total energies (eV per atom): -0.42
Final energy (hartree per atom): -0.214

Lattice parameters (Å, degrees): 6.0754 6.1160 5.9434 60.73 57.83 87.07
Closest atoms and distances in Å follow each position.
Fractional coordinates of all 10 atoms:
Ho 0.6235 0.2197 0.5687  7 Ni 2.82-3.08, 1 Si 3.09
Ho 0.3765 0.7803 0.4313  7 Ni 2.82-3.08, 1 Si 3.09
Si 0.0000 0.0000 0.0000  6 Ni 2.23-2.26
Ni 0.1229 0.1622 0.5087  1 Si 2.23, 1 Ge 2.38, 2 Ni 2.42-2.48
Ni 0.8482 0.6963 0.9675  1 Si 2.25, 1 Ge 2.36, 2 Ni 2.42-2.47
Ni 0.1019 0.6213 0.2012  1 Si 2.26, 1 Ge 2.33, 3 Ni 2.47-2.53
Ni 0.8981 0.3787 0.7988  1 Si 2.26, 1 Ge 2.33, 3 Ni 2.47-2.53
Ni 0.1518 0.3037 0.0325  1 Si 2.25, 1 Ge 2.36, 2 Ni 2.42-2.47
Ni 0.8771 0.8378 0.4913  1 Si 2.23, 1 Ge 2.38, 2 Ni 2.42-2.48
Ge 0.5000 0.5000 0.0000  6 Ni 2.33-2.38

=====

No. 2
DFT (PBE) results for an optimized crystal structure of SmHoNi2Ge2.

Summary:
Total magnetic moment (μB per cell): 0.0
SG: P-3m1 (164)
Volume (Å³/atom): 18.7
Energy relative to the elements (eV/f.u.): -4.48
Final energy (hartree per atom): -0.212

Lattice parameters (Å, degrees): 4.2436 4.2436 7.2000 90.00 90.00 120.00
Closest atoms and distances in Å follow each position.
Fractional coordinates of all 6 atoms:
Sm 0.0000 0.0000 0.0000  6 Ge 3.11, 6 Ni 3.16
Ho 0.0000 0.0000 0.5000  6 Ni 2.93, 6 Ge 2.98
Ni 0.3333 0.6667 0.7225  3 Ge 2.45
Ni 0.6667 0.3333 0.2775  3 Ge 2.45
Ge 0.3333 0.6667 0.2650  3 Ni 2.45
Ge 0.6667 0.3333 0.7350  3 Ni 2.45

=====

No. 3
DFT (PBE) results for an optimized crystal structure of TbHoNiGe.

Summary:
Total magnetic moment (μB per cell): 0.0
SG: F-43m (216)
Volume (Å³/atom): 21.1
Energy relative to the elements (eV/f.u.): -2.17
Final energy (hartree per atom): -0.200

Lattice parameters (Å, degrees): 4.9258 4.9258 4.9258 60.00 60.00 60.00
Closest atoms and distances in Å follow each position.
Fractional coordinates of all 4 atoms:
Ni 0.2500 0.2500 0.2500  4 Tb 3.02, 4 Ho 3.02
Ge 0.7500 0.7500 0.7500  4 Tb 3.02, 4 Ho 3.02
Tb 0.0000 0.0000 0.0000  4 Ge 3.02, 4 Ni 3.02
Ho 0.5000 0.5000 0.5000  4 Ni 3.02, 4 Ge 3.02

=====

No. 4
DFT (PBE) results for an optimized crystal structure of HoTcNiGe2.

Summary:
Total magnetic moment (μB per cell): 0.0
SG: I-4m2 (119)
Volume (Å³/atom): 17.3
Energy relative to the elements (eV/f.u.): -2.70
Final energy (hartree per atom): -0.240

Lattice parameters (Å, degrees): 4.0864 4.0864 5.9244 110.17 110.17 90.00
Closest atoms and distances in Å follow each position.
Fractional coordinates of all 5 atoms:
Ho 0.0000 0.0000 0.0000  8 Ge 3.16, 4 Tc 3.30, 4 Ni 3.30
Tc 0.7500 0.2500 0.5000  4 Ge 2.43
Ni 0.2500 0.7500 0.5000  4 Ge 2.43
Ge 0.6236 0.6236 0.2471  2 Tc 2.43, 2 Ni 2.43, 1 Ge 2.56
Ge 0.3764 0.3764 0.7529  2 Tc 2.43, 2 Ni 2.43, 1 Ge 2.56

=====

No. 5
DFT (PBE) results for an optimized crystal structure of Ho8NiGe3Te4.

Summary:
Total magnetic moment (μB per cell): 0.0
SG: C2/m (12)
Volume (Å³/atom): 26.8
Formation energy from raw total energies (eV per atom): -1.05
Final energy (hartree per atom): -0.197

Lattice parameters (Å, degrees): 8.3629 8.5726 8.3631 119.19 120.00 90.00
Closest atoms and distances in Å follow each position.
Fractional coordinates of all 16 atoms:
Ho 0.2372 0.7167 0.9798  1 Ni 2.84, 2 Ge 2.87, 3 Te 3.13-3.16
Ho 0.2385 0.7184 0.4770  1 Ni 2.86, 2 Ge 2.87, 3 Te 3.13-3.14
Ho 0.2596 0.2793 0.5193  3 Ge 2.88, 3 Te 3.12
Ho 0.7425 0.7167 0.9798  1 Ni 2.84, 2 Ge 2.87, 3 Te 3.13-3.16
Ho 0.2575 0.2833 0.0202  1 Ni 2.84, 2 Ge 2.87, 3 Te 3.13-3.16
Ho 0.7404 0.7207 0.4807  3 Ge 2.88, 3 Te 3.12
Ho 0.7615 0.2816 0.5230  1 Ni 2.86, 2 Ge 2.87, 3 Te 3.13-3.14
Ho 0.7628 0.2833 0.0202  1 Ni 2.84, 2 Ge 2.87, 3 Te 3.13-3.16
Ni 0.0000 0.5000 0.0000  6 Ho 2.84-2.86
Ge 0.5000 0.5000 0.0000  6 Ho 2.87-2.88
Ge 0.5000 0.5000 0.5000  6 Ho 2.87-2.88
Ge 0.0000 0.5000 0.5000  6 Ho 2.87-2.88
Te 0.5000 0.0000 0.0000  6 Ho 3.14-3.16
Te 0.5000 0.0000 0.5000  6 Ho 3.12-3.13
Te 0.0000 0.0000 0.0000  6 Ho 3.12-3.13
Te 0.0000 0.0000 0.5000  6 Ho 3.12-3.13

=====

No. 6
DFT (PBE) results for an optimized crystal structure of Ho2TiNi4Ge3.

Summary:
Total magnetic moment (μB per cell): 0.0
SG: P-4m2 (115)
Volume (Å³/atom): 16.2
Energy relative to the elements (eV/f.u.): -6.67
Final energy (hartree per atom): -0.223

Lattice parameters (Å, degrees): 3.9860 3.9860 10.1931 90.00 90.00 90.00
Closest atoms and distances in Å follow each position.
Fractional coordinates of all 10 atoms:
Ho 0.5000 0.0000 0.2371  6 Ge 3.02-3.34, 8 Ni 3.08-3.13, 2 Ti 3.34
Ho 0.0000 0.5000 0.7629  6 Ge 3.02-3.34, 8 Ni 3.08-3.13, 2 Ti 3.34
Ti 0.5000 0.5000 0.5000  4 Ni 2.45
Ni 0.5000 0.5000 0.0000  4 Ge 2.39
Ni 0.0000 0.0000 0.0000  4 Ge 2.39
Ni 0.5000 0.0000 0.6402  3 Ge 2.34-2.45, 2 Ti 2.45
Ni 0.0000 0.5000 0.3598  3 Ge 2.34-2.45, 2 Ti 2.45
Ge 0.0000 0.0000 0.5000  4 Ni 2.45
Ge 0.5000 0.0000 0.8698  5 Ni 2.34-2.39
Ge 0.0000 0.5000 0.1302  5 Ni 2.34-2.39